# Cs2Na2Tl PBE optimized geometry
data_Cs2Na2Tl
_symmetry_space_group_name_H-M 'I m m m'
_symmetry_Int_Tables_number 71
_symmetry_space_group_name_Hall '-I 2 2'
_cell_length_a 5.752
_cell_length_b 7.301
_cell_length_c 13.081
_cell_angle_alpha 90.00
_cell_angle_beta 90.00
_cell_angle_gamma 90.00
loop_
_atom_site_label
_atom_site_type_symbol
_atom_site_fract_x
_atom_site_fract_y
_atom_site_fract_z
Cs1 Cs 0.000 0.000 0.196
Na1 Na 0.000 0.231 0.500
Tl1 Tl 0.000 0.500 0.000
# ΔE to the lowest computed polymorph: 0.0 kJ/mol of atoms
# Energy of formation: 0.00 eV/atom
# Density: 3.12 g/cm3
# Fermi-level density of states: 9.0 states/eV/cell